# Ca2YAg3 PBE relaxed
# offset from the most stable computed form	0.000	eV per atom
# space-group type	P4/mmm (123)
# formation energy from the elements	-318	meV per atom
# total magnetization	0.0	Bohr magnetons per cell
data_Ca2YAg3
_chemical_formula_sum 'Ca2 Y1 Ag3'
_space_group_name_H-M_alt 'P 1'
_space_group_IT_number 1
_cell_length_a 3.6915
_cell_length_b 3.6915
_cell_length_c 11.0816
_cell_angle_alpha 90.00
_cell_angle_beta 90.00
_cell_angle_gamma 90.00
loop_
_space_group_symop_operation_xyz
'x,y,z'
loop_
_atom_site_label
_atom_site_type_symbol
_atom_site_fract_x
_atom_site_fract_y
_atom_site_fract_z
Ag1 Ag 0.0000 0.0000 0.0000
Ag2 Ag 0.0000 0.0000 0.3467
Ag3 Ag 0.0000 0.0000 0.6533
Ca1 Ca 0.5000 0.5000 0.1696
Ca2 Ca 0.5000 0.5000 0.8304
Y1 Y 0.5000 0.5000 0.5000